[1]
# Ir3W | the Alexandria database | PBEsol | optimized geometry
data_Ir3W
_chemical_formula_sum 'Ir12 W4'
_cell_length_a 5.4677
_cell_length_b 5.4677
_cell_length_c 8.8543
_cell_angle_alpha 90.00
_cell_angle_beta 90.00
_cell_angle_gamma 120.00
_symmetry_space_group_name_H-M 'P 63/m m c'
_symmetry_Int_Tables_number 194
_symmetry_space_group_name_Hall '-P 6c 2c'
loop_
_atom_site_label
_atom_site_type_symbol
_atom_site_fract_x
_atom_site_fract_y
_atom_site_fract_z
Ir1 Ir 0.0000 0.5000 0.0000
Ir2 Ir 0.1690 0.3379 0.2500
W1 W 0.0000 0.0000 0.0000
W2 W 0.3333 0.6667 0.7500
# E: -11.13 eV per atom
# Calculated formation energy: -312 meV per atom
# Crystal system: hexagonal
# DOS(E_F): 9.21 states/eV/cell


[2]
# Ir5W | the Alexandria database | PBEsol | optimized geometry
data_Ir5W
_chemical_formula_sum 'Ir10 W2'
_cell_length_a 4.3795
_cell_length_b 2.7453
_cell_length_c 14.2568
_cell_angle_alpha 90.00
_cell_angle_beta 90.00
_cell_angle_gamma 90.00
_symmetry_space_group_name_H-M 'A m m 2'
_symmetry_Int_Tables_number 38
loop_
_symmetry_equiv_pos_as_xyz
'x,y,z'
'-x,-y,z'
'-x,y,z'
'x,-y,z'
'x,y+1/2,z+1/2'
'-x,-y+1/2,z+1/2'
'-x,y+1/2,z+1/2'
'x,-y+1/2,z+1/2'
loop_
_atom_site_label
_atom_site_type_symbol
_atom_site_fract_x
_atom_site_fract_y
_atom_site_fract_z
Ir1 Ir 0.0000 0.0000 0.0000
Ir2 Ir 0.0000 0.0000 0.3307
Ir3 Ir 0.5000 0.0000 0.1103
Ir4 Ir 0.5000 0.0000 0.4438
Ir5 Ir 0.5000 0.0000 0.7780
W1 W 0.0000 0.0000 0.6676
# Excess energy over the best structure of this formula in the dataset: 0.000 eV/atom
# E: -10.65 eV per atom
# Calculated formation energy: -166 meV per atom
# Crystal system: orthorhombic
# DOS(E_F): 9.15 states/eV/cell


[3]
# Ir5W | the Alexandria database | PBEsol | optimized geometry
data_Ir5W
_chemical_formula_sum 'Ir10 W2'
_cell_length_a 9.9920
_cell_length_b 2.7422
_cell_length_c 6.4563
_cell_angle_alpha 90.00
_cell_angle_beta 104.14
_cell_angle_gamma 90.00
_symmetry_space_group_name_H-M 'C 1 m 1'
_symmetry_Int_Tables_number 8
loop_
_symmetry_equiv_pos_as_xyz
'x,y,z'
'x,-y,z'
'x+1/2,y+1/2,z'
'x+1/2,-y+1/2,z'
loop_
_atom_site_label
_atom_site_type_symbol
_atom_site_fract_x
_atom_site_fract_y
_atom_site_fract_z
Ir1 Ir 0.0000 0.0000 0.0000
Ir2 Ir 0.0544 0.0000 0.6028
Ir3 Ir 0.1692 0.5000 0.3313
Ir4 Ir 0.2261 0.5000 0.9475
Ir5 Ir 0.3363 0.0000 0.6658
W1 W 0.3901 0.0000 0.2777
# Excess energy over the best structure of this formula in the dataset: 0.028 eV/atom
# E: -10.63 eV per atom
# Calculated formation energy: -138 meV per atom
# Crystal system: monoclinic
# DOS(E_F): 10.64 states/eV/cell


[4]
# IrW2 | the Alexandria database | PBEsol | optimized geometry
data_IrW2
_chemical_formula_sum 'Ir2 W4'
_cell_length_a 2.7288
_cell_length_b 2.7288
_cell_length_c 12.2011
_cell_angle_alpha 90.00
_cell_angle_beta 90.00
_cell_angle_gamma 90.00
_symmetry_space_group_name_H-M 'I 4/m m m'
_symmetry_Int_Tables_number 139
_symmetry_space_group_name_Hall '-I 4 2'
loop_
_atom_site_label
_atom_site_type_symbol
_atom_site_fract_x
_atom_site_fract_y
_atom_site_fract_z
Ir1 Ir 0.0000 0.0000 0.0000
W1 W 0.0000 0.0000 0.3402
# E: -12.59 eV per atom
# Calculated formation energy: -107 meV per atom
# Crystal system: tetragonal
# DOS(E_F): 3.00 states/eV/cell


[5]
# IrW3 | the Alexandria database | PBEsol | optimized geometry
data_IrW3
_chemical_formula_sum 'Ir1 W3'
_cell_length_a 2.7663
_cell_length_b 2.7663
_cell_length_c 9.2994
_cell_angle_alpha 90.00
_cell_angle_beta 90.00
_cell_angle_gamma 120.00
_symmetry_space_group_name_H-M 'P -6 m 2'
_symmetry_Int_Tables_number 187
_symmetry_space_group_name_Hall 'P -6 2'
loop_
_atom_site_label
_atom_site_type_symbol
_atom_site_fract_x
_atom_site_fract_y
_atom_site_fract_z
Ir1 Ir 0.0000 0.0000 0.0000
W1 W 0.0000 0.0000 0.5000
W2 W 0.6667 0.3333 0.2385
# E: -12.66 eV per atom
# Calculated formation energy: 148 meV per atom
# Crystal system: hexagonal
# DOS(E_F): 3.00 states/eV/cell


[6]
# Ir3W | the Alexandria database | PBEsol | optimized geometry
data_Ir3W
_chemical_formula_sum 'Ir3 W1'
_cell_length_a 2.7580
_cell_length_b 4.3710
_cell_length_c 4.7667
_cell_angle_alpha 90.00
_cell_angle_beta 90.00
_cell_angle_gamma 90.00
_symmetry_space_group_name_H-M 'P m m 2'
_symmetry_Int_Tables_number 25
loop_
_symmetry_equiv_pos_as_xyz
'x,y,z'
'-x,-y,z'
'-x,y,z'
'x,-y,z'
loop_
_atom_site_label
_atom_site_type_symbol
_atom_site_fract_x
_atom_site_fract_y
_atom_site_fract_z
Ir1 Ir 0.0000 0.0000 0.0000
Ir2 Ir 0.0000 0.5000 0.3356
Ir3 Ir 0.5000 0.0000 0.4928
W1 W 0.5000 0.5000 0.8246
# E: -11.06 eV per atom
# Calculated formation energy: -240 meV per atom
# Crystal system: orthorhombic
# DOS(E_F): 2.79 states/eV/cell


[7]
# IrW3 | the Alexandria database | PBEsol | optimized geometry
data_IrW3
_chemical_formula_sum 'Ir1 W3'
_cell_length_a 2.7110
_cell_length_b 3.9903
_cell_length_c 5.6812
_cell_angle_alpha 90.00
_cell_angle_beta 90.00
_cell_angle_gamma 90.00
_symmetry_space_group_name_H-M 'P m m m'
_symmetry_Int_Tables_number 47
loop_
_symmetry_equiv_pos_as_xyz
'x,y,z'
'-x,-y,-z'
'-x,-y,z'
'x,y,-z'
'x,-y,-z'
'-x,y,z'
'-x,y,-z'
'x,-y,z'
loop_
_atom_site_label
_atom_site_type_symbol
_atom_site_fract_x
_atom_site_fract_y
_atom_site_fract_z
Ir1 Ir 0.0000 0.0000 0.0000
W1 W 0.0000 0.0000 0.5000
W2 W 0.5000 0.5000 0.2428
# E: -12.71 eV per atom
# Calculated formation energy: 98 meV per atom
# Crystal system: orthorhombic
# DOS(E_F): 2.85 states/eV/cell


[8]
# Ir3W | the Alexandria database | PBEsol | optimized geometry
data_Ir3W
_chemical_formula_sum 'Ir3 W1'
_cell_length_a 3.8562
_cell_length_b 3.8562
_cell_length_c 3.8562
_cell_angle_alpha 90.00
_cell_angle_beta 90.00
_cell_angle_gamma 90.00
_symmetry_space_group_name_H-M 'P m -3 m'
_symmetry_Int_Tables_number 221
_symmetry_space_group_name_Hall '-P 4 2 3'
loop_
_atom_site_label
_atom_site_type_symbol
_atom_site_fract_x
_atom_site_fract_y
_atom_site_fract_z
Ir1 Ir 0.0000 0.0000 0.5000
W1 W 0.5000 0.5000 0.5000
# E: -11.11 eV per atom
# Calculated formation energy: -286 meV per atom
# Crystal system: cubic
# DOS(E_F): 2.64 states/eV/cell